## w
Material: LaRuC
Method: DFT, GGA-PBE
State: relaxed

Lattice parameters (Å, degrees): 3.422 5.376 11.380 90.00 90.00 90.00
Space group Fmm2 (No. 42)
Asymmetric unit:
La: 0.000 0.000 0.000 [4 per cell]
Ru: 0.000 0.000 0.263 [4 per cell]
C: 0.000 0.000 0.682 [4 per cell]

## Properties
As for the mass density: 8.0 g/cm³. The density of states at the Fermi level is 0.599 states/eV/atom.

***

## x
Material: LaRuC
Method: DFT, GGA-PBE
State: relaxed

Lattice parameters (Å, degrees): 3.696 5.536 5.988 108.81 90.06 109.13
Space group P-1 (No. 2)
Asymmetric unit:
La: 0.098 0.190 0.314 [2 per cell]
Ru: 0.328 0.658 0.138 [2 per cell]
C: 0.220 0.441 0.775 [2 per cell]

## Properties
As for the mass density: 7.7 g/cm³. The density of states at the Fermi level is 0.818 states/eV/atom.

***

Stability verdict: x, ahead by 0.637 eV/atom

***

## w
Material: LaSnRu2C
Method: DFT, GGA-PBE
State: relaxed

Lattice parameters (Å, degrees): 4.255 11.670 7.544 90.00 90.00 90.00
Space group Cmcm (No. 63)
Asymmetric unit:
La: 0.000 0.051 0.250 [4 per cell]
Sn: 0.000 0.228 0.750 [4 per cell]
Ru: 0.000 0.345 0.059 [8 per cell]
C: 0.000 0.500 0.000 [4 per cell]

## Properties
As for the mass density: 8.4 g/cm³. The density of states at the Fermi level is 0.822 states/eV/atom.

***

## x
Material: LaSnRu2C
Method: DFT, GGA-PBE
State: relaxed

Lattice parameters (Å, degrees): 4.280 4.280 4.861 90.00 90.00 90.00
Space group P4/mmm (No. 123)
Asymmetric unit:
La: 0.000 0.000 0.000 [1 per cell]
Sn: 0.500 0.500 0.000 [1 per cell]
Ru: 0.000 0.500 0.500 [2 per cell]
C: 0.500 0.500 0.500 [1 per cell]

## Properties
As for the mass density: 8.8 g/cm³. The density of states at the Fermi level is 0.738 states/eV/atom.

***

Stability verdict: w, ahead by 0.617 eV/atom

***

## w
Material: LaC2S2
Method: DFT, GGA-PBE
State: relaxed

Lattice parameters (Å, degrees): 7.496 7.496 2.909 90.00 90.00 90.00
Space group P4/mbm (No. 127)
Asymmetric unit:
La: 0.000 0.000 0.000 [2 per cell]
C: 0.246 0.254 0.500 [4 per cell]
S: 0.142 0.358 0.000 [4 per cell]

## Properties
As for the mass density: 4.6 g/cm³. The density of states at the Fermi level is 0.379 states/eV/atom.

***

## x
Material: LaC2S2
Method: DFT, GGA-PBE
State: relaxed

Lattice parameters (Å, degrees): 4.090 4.090 8.871 90.00 90.00 90.00
Space group I4/mmm (No. 139)
Asymmetric unit:
La: 0.000 0.000 0.000 [2 per cell]
C: 0.000 0.500 0.250 [4 per cell]
S: 0.000 0.000 0.302 [4 per cell]

## Properties
As for the mass density: 5.1 g/cm³. The density of states at the Fermi level is 0.447 states/eV/atom.

***

Stability verdict: w, ahead by 0.251 eV/atom

***

## w
Material: LaCS3
Method: DFT, GGA-PBE
State: relaxed

Lattice parameters (Å, degrees): 4.388 4.388 4.388 90.00 90.00 90.00
Space group Pm-3m (No. 221)
Asymmetric unit:
La: 0.000 0.000 0.000 [1 per cell]
C: 0.500 0.500 0.500 [1 per cell]
S: 0.000 0.500 0.500 [3 per cell]

## Properties
As for the mass density: 4.9 g/cm³. The density of states at the Fermi level is 0.440 states/eV/atom.

***

## x
Material: LaCS3
Method: DFT, GGA-PBE
State: relaxed

Lattice parameters (Å, degrees): 5.593 5.593 5.593 90.00 90.00 90.00
Space group Pm-3m (No. 221)
Asymmetric unit:
La: 0.000 0.000 0.000 [1 per cell]
C: 0.500 0.500 0.500 [1 per cell]
S: 0.000 0.000 0.500 [3 per cell]

## Properties
As for the mass density: 2.3 g/cm³. The density of states at the Fermi level is 2.999 states/eV/atom.

***

Stability verdict: w, ahead by 1.448 eV/atom